No. 1
DFT (GGA-PBEsol) results for a relaxed structure of In3AsPd.

Summary:
- E: -16.782 eV/cell
- Volume: 27.96 A^3/atom
- E_form: 0.6463 eV per atom
- Total magnetization: 0.0000 μB/atom

```
data_In3AsPd
_space_group_name_H-M_alt 'P m -3 m'
_space_group_IT_number 221
_space_group_name_Hall '-P 4 2 3'
_cell_length_a 5.190
_cell_length_b 5.190
_cell_length_c 5.190
_cell_angle_alpha 90.00
_cell_angle_beta 90.00
_cell_angle_gamma 90.00
loop_
_atom_site_label
_atom_site_fract_x
_atom_site_fract_y
_atom_site_fract_z
In1 0.000 0.000 0.500
As1 0.000 0.000 0.000
Pd1 0.500 0.500 0.500
```

No. 2
DFT (GGA-PBEsol) results for a relaxed structure of InAsPt5.

Summary:
- E: -45.321 eV/cell
- Volume: 16.13 A^3/atom
- E_form: -0.3449 eV per atom
- Total magnetization: 0.0000 μB/atom

```
data_InAsPt5
_space_group_name_H-M_alt 'P 4/m m m'
_space_group_IT_number 123
_space_group_name_Hall '-P 4 2'
_cell_length_a 4.001
_cell_length_b 4.001
_cell_length_c 7.051
_cell_angle_alpha 90.00
_cell_angle_beta 90.00
_cell_angle_gamma 90.00
loop_
_atom_site_label
_atom_site_fract_x
_atom_site_fract_y
_atom_site_fract_z
In1 0.000 0.000 0.000
As1 0.500 0.500 0.500
Pt1 0.000 0.500 0.286
Pt2 0.500 0.500 0.000
```

No. 3
DFT (GGA-PBEsol) results for a relaxed structure of InAs2Pt.

Summary:
- E: -20.223 eV/cell
- Volume: 18.77 A^3/atom
- E_form: -0.0159 eV per atom
- Total magnetization: 0.0000 μB/atom

```
data_InAs2Pt
_space_group_name_H-M_alt 'P m m 2'
_space_group_IT_number 25
_cell_length_a 5.011
_cell_length_b 5.287
_cell_length_c 2.834
_cell_angle_alpha 90.00
_cell_angle_beta 90.00
_cell_angle_gamma 90.00
loop_
_space_group_symop_operation_xyz
'x,y,z'
'-x,-y,z'
'-x,y,z'
'x,-y,z'
loop_
_atom_site_label
_atom_site_fract_x
_atom_site_fract_y
_atom_site_fract_z
In1 0.000 0.000 0.000
As1 0.000 0.500 0.767
As2 0.500 0.500 0.533
Pt1 0.500 0.000 0.492
```

No. 4
DFT (GGA-PBEsol) results for a relaxed structure of InAs2Pt.

Summary:
- E: -20.029 eV/cell
- Volume: 18.49 A^3/atom
- E_form: 0.0325 eV per atom
- Total magnetization: 0.0000 μB/atom

```
data_InAs2Pt
_space_group_name_H-M_alt 'P 4 m m'
_space_group_IT_number 99
_cell_length_a 3.170
_cell_length_b 3.170
_cell_length_c 7.361
_cell_angle_alpha 90.00
_cell_angle_beta 90.00
_cell_angle_gamma 90.00
loop_
_space_group_symop_operation_xyz
'x,y,z'
'-y,x,z'
'-x,-y,z'
'y,-x,z'
'-x,y,z'
'y,x,z'
'x,-y,z'
'-y,-x,z'
loop_
_atom_site_label
_atom_site_fract_x
_atom_site_fract_y
_atom_site_fract_z
In1 0.000 0.000 0.000
As1 0.000 0.000 0.446
As2 0.500 0.500 0.723
Pt1 0.500 0.500 0.253
```

Look up the E of the first one. -16.782 eV/cell

Repeat the first record exactly.
DFT (GGA-PBEsol) results for a relaxed structure of In3AsPd.

Summary:
- E: -16.782 eV/cell
- Volume: 27.96 A^3/atom
- E_form: 0.6463 eV per atom
- Total magnetization: 0.0000 μB/atom

```
data_In3AsPd
_space_group_name_H-M_alt 'P m -3 m'
_space_group_IT_number 221
_space_group_name_Hall '-P 4 2 3'
_cell_length_a 5.190
_cell_length_b 5.190
_cell_length_c 5.190
_cell_angle_alpha 90.00
_cell_angle_beta 90.00
_cell_angle_gamma 90.00
loop_
_atom_site_label
_atom_site_fract_x
_atom_site_fract_y
_atom_site_fract_z
In1 0.000 0.000 0.500
As1 0.000 0.000 0.000
Pd1 0.500 0.500 0.500
```

Repeat the third record exactly.
DFT (GGA-PBEsol) results for a relaxed structure of InAs2Pt.

Summary:
- E: -20.223 eV/cell
- Volume: 18.77 A^3/atom
- E_form: -0.0159 eV per atom
- Total magnetization: 0.0000 μB/atom

```
data_InAs2Pt
_space_group_name_H-M_alt 'P m m 2'
_space_group_IT_number 25
_cell_length_a 5.011
_cell_length_b 5.287
_cell_length_c 2.834
_cell_angle_alpha 90.00
_cell_angle_beta 90.00
_cell_angle_gamma 90.00
loop_
_space_group_symop_operation_xyz
'x,y,z'
'-x,-y,z'
'-x,y,z'
'x,-y,z'
loop_
_atom_site_label
_atom_site_fract_x
_atom_site_fract_y
_atom_site_fract_z
In1 0.000 0.000 0.000
As1 0.000 0.500 0.767
As2 0.500 0.500 0.533
Pt1 0.500 0.000 0.492
```